Entry 1:
Compound: Rb2PtCl4
Source: Alexandria
Functional: GGA-PBE
Structure: optimized geometry

Lattice parameters (Å, degrees): 5.155 5.155 15.776 90.00 90.00 90.00
Space group I4/mmm (No. 139)
One atom of each set of equivalent atoms:
Rb: 0.000 0.000 0.136 [4 per cell]
Pt: 0.000 0.000 0.500 [2 per cell]
Cl: 0.000 0.000 0.348 [4 per cell]
Cl: 0.000 0.500 0.000 [4 per cell]

Computed properties:
Formation energy without anion corrections in eV per formula unit: -8.8
Volume in Å³/atom: 29.94


Entry 2:
Compound: KCa2Ta
Source: Alexandria
Functional: GGA-PBE
Structure: optimized geometry

Lattice parameters (Å, degrees): 3.325 6.703 12.615 90.00 90.00 90.00
Space group Immm (No. 71)
One atom of each set of equivalent atoms:
K: 0.000 0.000 0.000 [2 per cell]
Ca: 0.000 0.500 0.214 [4 per cell]
Ta: 0.000 0.000 0.500 [2 per cell]

Computed properties:
Volume in Å³/atom: 35.15
Energy of formation in eV/f.u.: 4.05
E above lowest polymorph in kJ/mol of formula units: 144


Entry 3:
Compound: LiCa2Te
Source: Alexandria
Functional: GGA-PBE
Structure: optimized geometry

Lattice parameters (Å, degrees): 7.370 7.559 4.130 90.00 90.00 90.00
Space group Cmmm (No. 65)
One atom of each set of equivalent atoms:
Li: 0.000 0.000 0.000 [2 per cell]
Ca: 0.250 0.250 0.500 [4 per cell]
Te: 0.000 0.500 0.000 [2 per cell]

Computed properties:
Formation energy without anion corrections in eV per formula unit: -2.6
Volume in Å³/atom: 28.76


Entry 4:
Compound: Tb6CeHo2
Source: Alexandria
Functional: GGA-PBE
Structure: optimized geometry

Lattice parameters (Å, degrees): 8.908 9.709 13.247 90.00 97.75 90.00
Space group C2/c (No. 15)
One atom of each set of equivalent atoms:
Tb: 0.004 0.167 0.495 [8 per cell]
Tb: 0.161 0.334 0.838 [8 per cell]
Tb: 0.170 0.500 0.085 [8 per cell]
Ce: 0.000 0.001 0.250 [4 per cell]
Ho: 0.172 0.333 0.329 [8 per cell]

Computed properties:
Volume in Å³/atom: 31.54
Energy of formation in eV/f.u.: 0.77
E above lowest polymorph in kJ/mol of formula units: 0